Entry 1:
A plane-wave DFT calculation with PBE was carried out for an optimized crystal structure of TaZn4Ag.

a = 7.192 Å, b = 7.192 Å, c = 7.192 Å
α = 90.00°, β = 90.00°, γ = 90.00°
Space group F-43m (No. 216)
Asymmetric unit:
Ta  0.000  0.000  0.000 [4 per cell]
Zn  0.126  0.126  0.626 [16 per cell]
Ag  0.250  0.250  0.250 [4 per cell]

## Properties
DFT total energy: -0.1134 hartree per atom
Total magnetization: 0.00 μB/f.u.
DFT formation energy: 0.21 eV/atom


Entry 2:
A plane-wave DFT calculation with PBE was carried out for an optimized crystal structure of Ta3ZnAg.

a = 4.692 Å, b = 4.692 Å, c = 4.692 Å
α = 90.00°, β = 90.00°, γ = 90.00°
Space group Pm-3m (No. 221)
Asymmetric unit:
Ta  0.000  0.000  0.500 [3 per cell]
Zn  0.000  0.000  0.000 [1 per cell]
Ag  0.500  0.500  0.500 [1 per cell]

## Properties
DFT total energy: -0.2398 hartree per atom
E above lowest polymorph: 0 meV per atom
Total magnetization: 1.19 μB/f.u.
DFT formation energy: 1.41 eV/atom


Entry 3:
A plane-wave DFT calculation with PBE was carried out for an optimized crystal structure of TaZnAg2.

a = 2.8978 Å, b = 2.8978 Å, c = 28.4852 Å
α = 90.00°, β = 90.00°, γ = 120.00°
Space group R3m (No. 160, hexagonal axes)
Asymmetric unit:
Ta  0.0000  0.0000  0.0000 [3 per cell]
Zn  0.0000  0.0000  0.2508 [3 per cell]
Ag  0.0000  0.0000  0.5059 [3 per cell]
Ag  0.0000  0.0000  0.7527 [3 per cell]

## Properties
DFT total energy: -0.1674 hartree per atom
Total magnetization: 0.00 μB/f.u.
DFT formation energy: 0.15 eV/atom


Entry 4:
A plane-wave DFT calculation with PBE was carried out for an optimized crystal structure of Ta2ZnAg.

a = 2.891 Å, b = 4.160 Å, c = 5.649 Å
α = 90.00°, β = 90.31°, γ = 90.00°
Space group P2/m (No. 10)
Asymmetric unit:
Ta  0.001  0.000  0.244 [2 per cell]
Zn  0.500  0.500  0.000 [1 per cell]
Ag  0.500  0.500  0.500 [1 per cell]

## Properties
DFT total energy: -0.2474 hartree per atom
Total magnetization: 0.00 μB/f.u.
DFT formation energy: 0.23 eV/atom


Entry 5:
A plane-wave DFT calculation with PBE was carried out for an optimized crystal structure of TaZnAg2.

a = 2.801 Å, b = 4.939 Å, c = 9.888 Å
α = 90.00°, β = 90.00°, γ = 90.00°
Space group Immm (No. 71)
Asymmetric unit:
Ta  0.000  0.000  0.000 [2 per cell]
Zn  0.000  0.000  0.500 [2 per cell]
Ag  0.000  0.500  0.236 [4 per cell]

## Properties
DFT total energy: -0.1623 hartree per atom
Total magnetization: 0.00 μB/f.u.
DFT formation energy: 0.29 eV/atom


Entry 6:
A plane-wave DFT calculation with PBE was carried out for an optimized crystal structure of Ta2ZnAg.

a = 10.047 Å, b = 2.856 Å, c = 4.913 Å
α = 90.00°, β = 100.21°, γ = 90.00°
Space group C2/m (No. 12)
Asymmetric unit:
Ta  0.249  0.000  0.246 [4 per cell]
Zn  0.000  0.500  0.000 [2 per cell]
Ag  0.000  0.000  0.500 [2 per cell]

## Properties
DFT total energy: -0.2468 hartree per atom
Total magnetization: 0.00 μB/f.u.
DFT formation energy: 0.24 eV/atom